(1)
# CeTmGeTe | Alexandria via LeMat-Bulk | PBE-GGA | relaxed
data_CeTmGeTe
_symmetry_space_group_name_H-M 'R 3 m'
_symmetry_Int_Tables_number 160
_symmetry_space_group_name_Hall 'R 3 -2"'
_cell_length_a 4.2770
_cell_length_b 4.2770
_cell_length_c 21.2649
_cell_angle_alpha 90.00
_cell_angle_beta 90.00
_cell_angle_gamma 120.00
loop_
_atom_site_label
_atom_site_type_symbol
_atom_site_fract_x
_atom_site_fract_y
_atom_site_fract_z
Ce1 Ce 0.0000 0.0000 0.0000
Tm1 Tm 0.0000 0.0000 0.5187
Ge1 Ge 0.0000 0.0000 0.2572
Te1 Te 0.0000 0.0000 0.7631
# ρ (g/cm3): 7.53
# E (eV/atom): -5.648
# Energy relative to the elements, uncorrected (eV per atom): -1.107
# Crystal system: trigonal

(2)
# CeYGeTe | Alexandria via LeMat-Bulk | PBE-GGA | relaxed
data_CeYGeTe
_symmetry_space_group_name_H-M 'R 3 m'
_symmetry_Int_Tables_number 160
_symmetry_space_group_name_Hall 'R 3 -2"'
_cell_length_a 4.3035
_cell_length_b 4.3035
_cell_length_c 21.4404
_cell_angle_alpha 90.00
_cell_angle_beta 90.00
_cell_angle_gamma 120.00
loop_
_atom_site_label
_atom_site_type_symbol
_atom_site_fract_x
_atom_site_fract_y
_atom_site_fract_z
Ce1 Ce 0.0000 0.0000 0.0000
Y1 Y 0.0000 0.0000 0.4822
Ge1 Ge 0.0000 0.0000 0.7416
Te1 Te 0.0000 0.0000 0.2387
# ρ (g/cm3): 6.22
# E (eV/atom): -6.189
# Energy relative to the elements, uncorrected (eV per atom): -1.149
# Crystal system: trigonal

(3)
# CeTh3Ge4 | Alexandria via LeMat-Bulk | PBE-GGA | relaxed
data_CeTh3Ge4
_symmetry_space_group_name_H-M 'P 1 2/c 1'
_symmetry_Int_Tables_number 13
_symmetry_space_group_name_Hall '-P 2yc'
_cell_length_a 7.423
_cell_length_b 8.571
_cell_length_c 7.421
_cell_angle_alpha 90.00
_cell_angle_beta 109.47
_cell_angle_gamma 90.00
loop_
_atom_site_label
_atom_site_type_symbol
_atom_site_fract_x
_atom_site_fract_y
_atom_site_fract_z
Ce1 Ce 0.000 0.125 0.250
Th1 Th 0.000 0.375 0.750
Th2 Th 0.500 0.125 0.750
Th3 Th 0.500 0.375 0.250
Ge1 Ge 0.245 0.122 0.000
Ge2 Ge 0.248 0.372 0.497
# ρ (g/cm3): 8.41
# E (eV/atom): -6.574
# ΔE_f (meV per atom): -741
# Crystal system: monoclinic

(4)
# Ce2ThGe | Alexandria via LeMat-Bulk | PBE-GGA | relaxed
data_Ce2ThGe
_symmetry_space_group_name_H-M 'P 1 21/m 1'
_symmetry_Int_Tables_number 11
_symmetry_space_group_name_Hall '-P 2yb'
_cell_length_a 4.351
_cell_length_b 4.311
_cell_length_c 11.354
_cell_angle_alpha 90.00
_cell_angle_beta 100.41
_cell_angle_gamma 90.00
loop_
_atom_site_label
_atom_site_type_symbol
_atom_site_fract_x
_atom_site_fract_y
_atom_site_fract_z
Ce1 Ce 0.011 0.250 0.124
Ce2 Ce 0.400 0.250 0.881
Th1 Th 0.299 0.750 0.607
Ge1 Ge 0.177 0.750 0.328
# ρ (g/cm3): 9.27
# ΔE to the lowest computed polymorph (meV/atom): 0
# E (eV/atom): -6.387
# ΔE_f (meV per atom): -411
# Crystal system: monoclinic

(5)
# Ce5ThGe2 | Alexandria via LeMat-Bulk | PBE-GGA | relaxed
data_Ce5ThGe2
_symmetry_space_group_name_H-M 'I m m m'
_symmetry_Int_Tables_number 71
_symmetry_space_group_name_Hall '-I 2 2'
_cell_length_a 4.139
_cell_length_b 9.784
_cell_length_c 10.694
_cell_angle_alpha 90.00
_cell_angle_beta 90.00
_cell_angle_gamma 90.00
loop_
_atom_site_label
_atom_site_type_symbol
_atom_site_fract_x
_atom_site_fract_y
_atom_site_fract_z
Ce1 Ce 0.000 0.000 0.000
Ce2 Ce 0.000 0.298 0.340
Th1 Th 0.000 0.500 0.000
Ge1 Ge 0.000 0.000 0.286
# ρ (g/cm3): 8.27
# E (eV/atom): -6.097
# ΔE_f (meV per atom): -306
# Crystal system: orthorhombic

(6)
# CeTh2Ge3 | Alexandria via LeMat-Bulk | PBE-GGA | relaxed
data_CeTh2Ge3
_symmetry_space_group_name_H-M 'P 1 21/c 1'
_symmetry_Int_Tables_number 14
_symmetry_space_group_name_Hall '-P 2ybc'
_cell_length_a 6.052
_cell_length_b 12.854
_cell_length_c 8.558
_cell_angle_alpha 90.00
_cell_angle_beta 90.00
_cell_angle_gamma 90.00
loop_
_atom_site_label
_atom_site_type_symbol
_atom_site_fract_x
_atom_site_fract_y
_atom_site_fract_z
Ce1 Ce 0.250 0.084 0.124
Th1 Th 0.250 0.083 0.625
Th2 Th 0.251 0.749 0.125
Ge1 Ge 0.249 0.249 0.375
Ge2 Ge 0.250 0.581 0.870
Ge3 Ge 0.250 0.582 0.380
# ρ (g/cm3): 8.20
# E (eV/atom): -6.502
# ΔE_f (meV per atom): -731
# Crystal system: monoclinic

(7)
# Ce2ThGe | Alexandria via LeMat-Bulk | PBE-GGA | relaxed
data_Ce2ThGe
_symmetry_space_group_name_H-M 'C 1 m 1'
_symmetry_Int_Tables_number 8
_symmetry_space_group_name_Hall 'C -2y'
_cell_length_a 6.798
_cell_length_b 3.452
_cell_length_c 9.971
_cell_angle_alpha 90.00
_cell_angle_beta 105.49
_cell_angle_gamma 90.00
loop_
_atom_site_label
_atom_site_type_symbol
_atom_site_fract_x
_atom_site_fract_y
_atom_site_fract_z
Ce1 Ce 0.000 0.000 0.000
Ce2 Ce 0.209 0.000 0.575
Th1 Th 0.372 0.500 0.291
Ge1 Ge 0.103 0.500 0.788
# ρ (g/cm3): 8.61
# ΔE to the lowest computed polymorph (meV/atom): 273
# E (eV/atom): -6.115
# ΔE_f (meV per atom): -138
# Crystal system: monoclinic

(8)
# CeTh3Ge5 | Alexandria via LeMat-Bulk | PBE-GGA | relaxed
data_CeTh3Ge5
_symmetry_space_group_name_H-M 'P 63/m c m'
_symmetry_Int_Tables_number 193
_symmetry_space_group_name_Hall '-P 6c 2'
_cell_length_a 9.1008
_cell_length_b 9.1008
_cell_length_c 6.0589
_cell_angle_alpha 90.00
_cell_angle_beta 90.00
_cell_angle_gamma 120.00
loop_
_atom_site_label
_atom_site_type_symbol
_atom_site_fract_x
_atom_site_fract_y
_atom_site_fract_z
Ce1 Ce 0.0000 0.0000 0.0000
Th1 Th 0.0000 0.3834 0.2500
Ge1 Ge 0.0000 0.2809 0.7500
Ge2 Ge 0.3333 0.6667 0.0000
# ρ (g/cm3): 9.17
# E (eV/atom): -6.353
# ΔE_f (meV per atom): -655
# Crystal system: hexagonal